[1]
A plane-wave DFT calculation with PBE was carried out for an optimized crystal structure of BaSrAsH.

Calculated values
The energy above the lowest structure with this stoichiometry comes out at 0.000 eV/atom. The crystal system is hexagonal.

```
data_BaSrAsH
_cell_length_a 5.1636
_cell_length_b 5.1636
_cell_length_c 10.6226
_cell_angle_alpha 90.00
_cell_angle_beta 90.00
_cell_angle_gamma 120.00
_space_group_name_H-M_alt 'P 63 m c'
_space_group_IT_number 186
_space_group_name_Hall 'P 6c -2c'
loop_
_atom_site_label
_atom_site_fract_x
_atom_site_fract_y
_atom_site_fract_z
Ba1 0.3333 0.6667 0.0000
Sr1 0.0000 0.0000 0.2647
As1 0.3333 0.6667 0.3199
H1 0.0000 0.0000 0.0261
```


[2]
A plane-wave DFT calculation with PBE was carried out for an optimized crystal structure of Na3In5Pb2.

Calculated values
The energy above the lowest structure with this stoichiometry comes out at 0.036 eV/atom. The crystal system is orthorhombic. For the formation energy, the calculation gives 0.001 eV/atom.

```
data_Na3In5Pb2
_cell_length_a 11.1737
_cell_length_b 13.0324
_cell_length_c 8.9759
_cell_angle_alpha 90.00
_cell_angle_beta 90.00
_cell_angle_gamma 90.00
_space_group_name_H-M_alt 'I b a m'
_space_group_IT_number 72
_space_group_name_Hall '-I 2 2c'
loop_
_atom_site_label
_atom_site_fract_x
_atom_site_fract_y
_atom_site_fract_z
Na1 0.0000 0.0000 0.2500
Na2 0.2478 0.3743 0.0000
In1 0.0000 0.2603 0.2500
In2 0.0000 0.5000 0.2500
In3 0.1214 0.3787 0.5000
Pb1 0.1133 0.1409 0.0000
```


[3]
A plane-wave DFT calculation with PBE was carried out for an optimized crystal structure of K4SrRu.

Calculated values
The crystal system is cubic. For the formation energy, the calculation gives 0.939 eV/atom.

```
data_K4SrRu
_cell_length_a 10.4802
_cell_length_b 10.4802
_cell_length_c 10.4802
_cell_angle_alpha 90.00
_cell_angle_beta 90.00
_cell_angle_gamma 90.00
_space_group_name_H-M_alt 'F -4 3 m'
_space_group_IT_number 216
_space_group_name_Hall 'F -4 2 3'
loop_
_atom_site_label
_atom_site_fract_x
_atom_site_fract_y
_atom_site_fract_z
K1 0.1227 0.1227 0.1227
Sr1 0.0000 0.0000 0.5000
Ru1 0.2500 0.2500 0.7500
```


[4]
A plane-wave DFT calculation with PBE was carried out for an optimized crystal structure of Nd3CuPt8.

Calculated values
The crystal system is trigonal. For the formation energy, the calculation gives -0.877 eV/atom.

```
data_Nd3CuPt8
_cell_length_a 5.4679
_cell_length_b 5.4679
_cell_length_c 26.7407
_cell_angle_alpha 90.00
_cell_angle_beta 90.00
_cell_angle_gamma 120.00
_space_group_name_H-M_alt 'R 3 m'
_space_group_IT_number 160
_space_group_name_Hall 'R 3 -2"'
loop_
_atom_site_label
_atom_site_fract_x
_atom_site_fract_y
_atom_site_fract_z
Nd1 0.0000 0.0000 0.0000
Nd2 0.0000 0.0000 0.1301
Nd3 0.0000 0.0000 0.6097
Cu1 0.0000 0.0000 0.4823
Pt1 0.0000 0.0000 0.3105
Pt2 0.0000 0.0000 0.8112
Pt3 0.0007 0.5004 0.0609
Pt4 0.0027 0.5013 0.5605
```


[5]
A plane-wave DFT calculation with PBE was carried out for an optimized crystal structure of Dy2Al3Ga4.

Calculated values
The crystal system is orthorhombic. For the formation energy, the calculation gives -0.437 eV/atom.

```
data_Dy2Al3Ga4
_cell_length_a 5.7937
_cell_length_b 15.3050
_cell_length_c 7.8249
_cell_angle_alpha 90.00
_cell_angle_beta 90.00
_cell_angle_gamma 90.00
_space_group_name_H-M_alt 'C m c e'
_space_group_IT_number 64
_space_group_name_Hall '-C 2ac 2'
loop_
_atom_site_label
_atom_site_fract_x
_atom_site_fract_y
_atom_site_fract_z
Dy1 0.0000 0.1122 0.0865
Al1 0.0000 0.0000 0.5000
Al2 0.2500 0.2200 0.7500
Ga1 0.0000 0.1803 0.4621
Ga2 0.2500 0.0519 0.7500
```


[6]
A plane-wave DFT calculation with PBE was carried out for an optimized crystal structure of LaNdSmHg.

Calculated values
The energy above the lowest structure with this stoichiometry comes out at 0.000 eV/atom. The crystal system is tetragonal. For the formation energy, the calculation gives -0.234 eV/atom.

```
data_LaNdSmHg
_cell_length_a 3.7769
_cell_length_b 3.7769
_cell_length_c 8.8255
_cell_angle_alpha 90.00
_cell_angle_beta 90.00
_cell_angle_gamma 90.00
_space_group_name_H-M_alt 'P 4 m m'
_space_group_IT_number 99
loop_
_space_group_symop_operation_xyz
'x,y,z'
'-y,x,z'
'-x,-y,z'
'y,-x,z'
'-x,y,z'
'y,x,z'
'x,-y,z'
'-y,-x,z'
loop_
_atom_site_label
_atom_site_fract_x
_atom_site_fract_y
_atom_site_fract_z
La1 0.0000 0.0000 0.0000
Nd1 0.5000 0.5000 0.7162
Sm1 0.5000 0.5000 0.2805
Hg1 0.0000 0.0000 0.4924
```


[7]
A plane-wave DFT calculation with PBE was carried out for an optimized crystal structure of K2AgPb.

Calculated values
The crystal system is tetragonal. For the formation energy, the calculation gives 0.047 eV/atom.

```
data_K2AgPb
_cell_length_a 5.6672
_cell_length_b 5.6672
_cell_length_c 7.9787
_cell_angle_alpha 90.00
_cell_angle_beta 90.00
_cell_angle_gamma 90.00
_space_group_name_H-M_alt 'I -4 m 2'
_space_group_IT_number 119
_space_group_name_Hall 'I -4 -2'
loop_
_atom_site_label
_atom_site_fract_x
_atom_site_fract_y
_atom_site_fract_z
K1 0.0000 0.0000 0.0000
K2 0.0000 0.5000 0.2500
Ag1 0.0000 0.0000 0.5000
Pb1 0.0000 0.5000 0.7500
```


[8]
A plane-wave DFT calculation with PBE was carried out for an optimized crystal structure of Nb14VSn.

Calculated values
The crystal system is tetragonal. For the formation energy, the calculation gives -0.030 eV/atom.

```
data_Nb14VSn
_cell_length_a 6.6376
_cell_length_b 6.6376
_cell_length_c 6.6219
_cell_angle_alpha 90.00
_cell_angle_beta 90.00
_cell_angle_gamma 90.00
_space_group_name_H-M_alt 'P 4/m m m'
_space_group_IT_number 123
_space_group_name_Hall '-P 4 2'
loop_
_atom_site_label
_atom_site_fract_x
_atom_site_fract_y
_atom_site_fract_z
Nb1 0.0000 0.0000 0.0000
Nb2 0.0000 0.5000 0.0000
Nb3 0.0000 0.5000 0.5000
Nb4 0.2424 0.2424 0.2478
Nb5 0.5000 0.5000 0.0000
V1 0.0000 0.0000 0.5000
Sn1 0.5000 0.5000 0.5000
```


[9]
A plane-wave DFT calculation with PBE was carried out for an optimized crystal structure of La4H2IrS.

Calculated values
The value obtained for the total energy is -46.52 eV per cell. The crystal system is monoclinic.

```
data_La4H2IrS
_cell_length_a 6.6878
_cell_length_b 4.0721
_cell_length_c 7.3520
_cell_angle_alpha 90.00
_cell_angle_beta 111.43
_cell_angle_gamma 90.00
_space_group_name_H-M_alt 'P 1 2/m 1'
_space_group_IT_number 10
loop_
_space_group_symop_operation_xyz
'x,y,z'
'-x,-y,-z'
'-x,y,-z'
'x,-y,z'
loop_
_atom_site_label
_atom_site_fract_x
_atom_site_fract_y
_atom_site_fract_z
La1 0.2328 0.0000 0.2453
La2 0.2508 0.5000 0.7583
H1 0.0000 0.0000 0.5000
H2 0.0000 0.5000 0.0000
Ir1 0.5000 0.0000 0.0000
S1 0.5000 0.5000 0.5000
```


[10]
A plane-wave DFT calculation with PBE was carried out for an optimized crystal structure of CsK2OsCl8.

Calculated values
The crystal system is triclinic. As for the formation energy (no corrections): -1.160 eV/atom.

```
data_CsK2OsCl8
_cell_length_a 6.0608
_cell_length_b 7.1933
_cell_length_c 9.9329
_cell_angle_alpha 89.13
_cell_angle_beta 89.27
_cell_angle_gamma 71.22
_space_group_name_H-M_alt 'P -1'
_space_group_IT_number 2
loop_
_space_group_symop_operation_xyz
'x,y,z'
'-x,-y,-z'
loop_
_atom_site_label
_atom_site_fract_x
_atom_site_fract_y
_atom_site_fract_z
Cs1 0.0000 0.0000 0.0000
K1 0.4790 0.4881 0.2402
Os1 0.0000 0.0000 0.5000
Cl1 0.0658 0.2059 0.3314
Cl2 0.0786 0.1969 0.6642
Cl3 0.3900 0.8056 0.4932
Cl4 0.4024 0.2793 0.9910
```


Q: Number 4 is which compound?
A: Nd3CuPt8


What did the second record say?
A plane-wave DFT calculation with PBE was carried out for an optimized crystal structure of Na3In5Pb2.

Calculated values
The energy above the lowest structure with this stoichiometry comes out at 0.036 eV/atom. The crystal system is orthorhombic. For the formation energy, the calculation gives 0.001 eV/atom.

```
data_Na3In5Pb2
_cell_length_a 11.1737
_cell_length_b 13.0324
_cell_length_c 8.9759
_cell_angle_alpha 90.00
_cell_angle_beta 90.00
_cell_angle_gamma 90.00
_space_group_name_H-M_alt 'I b a m'
_space_group_IT_number 72
_space_group_name_Hall '-I 2 2c'
loop_
_atom_site_label
_atom_site_fract_x
_atom_site_fract_y
_atom_site_fract_z
Na1 0.0000 0.0000 0.2500
Na2 0.2478 0.3743 0.0000
In1 0.0000 0.2603 0.2500
In2 0.0000 0.5000 0.2500
In3 0.1214 0.3787 0.5000
Pb1 0.1133 0.1409 0.0000
```